No. 1
{"formula": "PuScPa2S4", "functional": "PBE", "state": "relaxed", "formation_energy_uncorrected_ev_per_atom": -1.6891, "lattice": [[6.561, 0.000, 0.000], [0.000, 3.776, 0.000], [-2.167, 0.000, 6.529]], "species": ["Pu", "Sc", "Pa", "Pa", "S", "S", "S", "S"], "fractional_positions": [[0.000, 0.000, 0.000], [0.500, 0.500, 0.000], [0.000, 0.500, 0.500], [0.500, 0.000, 0.500], [0.255, 0.500, 0.240], [0.263, 0.000, 0.765], [0.737, 0.000, 0.235], [0.745, 0.500, 0.760]]}

=====

No. 2
{"formula": "Ca2TlAgPb", "functional": "PBE", "state": "relaxed", "ef_ev_per_fu": 0.5, "lattice": [[6.013, 0.000, 0.000], [0.000, 6.013, 0.000], [0.000, 0.000, 5.351]], "species": ["Ca", "Ca", "Tl", "Ag", "Pb"], "fractional_positions": [[0.000, 0.500, 0.000], [0.500, 0.000, 0.000], [0.000, 0.000, 0.500], [0.500, 0.500, 0.500], [0.500, 0.500, 0.000]]}

=====

No. 3
{"formula": "MgZrBr2", "functional": "PBE", "state": "relaxed", "formation_energy_uncorrected_ev_per_atom": -0.5221, "lattice": [[1.674, -3.137, 0.000], [1.674, 3.137, 0.000], [0.000, 0.000, 10.452]], "species": ["Mg", "Zr", "Br", "Br"], "fractional_positions": [[0.000, 0.000, 0.000], [0.000, 0.000, 0.500], [0.500, 0.500, 0.292], [0.500, 0.500, 0.708]]}

=====

No. 4
{"formula": "AcErCu4", "functional": "PBE", "state": "relaxed", "ef_ev_per_fu": -0.3, "lattice": [[0.000, 3.831, 3.831], [3.831, 0.000, 3.831], [3.831, 3.831, 0.000]], "species": ["Ac", "Er", "Cu", "Cu", "Cu", "Cu"], "fractional_positions": [[0.000, 0.000, 0.000], [0.250, 0.250, 0.250], [0.134, 0.622, 0.622], [0.622, 0.134, 0.622], [0.622, 0.622, 0.134], [0.622, 0.622, 0.622]]}

=====

No. 5
{"formula": "Y4HoSe7", "functional": "PBE", "state": "relaxed", "formation_energy_uncorrected_ev_per_atom": -1.8695, "lattice": [[6.696, -1.986, 0.000], [6.696, 1.986, 0.000], [-3.041, 0.000, 11.816]], "species": ["Y", "Y", "Y", "Y", "Ho", "Se", "Se", "Se", "Se", "Se", "Se", "Se"], "fractional_positions": [[0.000, 0.000, 0.000], [0.187, 0.187, 0.765], [0.587, 0.587, 0.390], [0.887, 0.887, 0.577], [0.774, 0.774, 0.155], [0.147, 0.147, 0.225], [0.227, 0.227, 0.527], [0.386, 0.386, 0.078], [0.547, 0.547, 0.628], [0.629, 0.629, 0.930], [0.847, 0.847, 0.793], [0.927, 0.927, 0.361]]}

=====

No. 6
{"formula": "Be9V2Re", "functional": "PBE", "state": "relaxed", "ef_ev_per_fu": -3.0, "lattice": [[2.154, 1.244, 6.784], [-2.154, 1.244, 6.784], [0.000, -2.488, 6.784]], "species": ["Be", "Be", "Be", "Be", "Be", "Be", "Be", "Be", "Be", "V", "V", "Re"], "fractional_positions": [[0.000, 0.000, 0.000], [0.084, 0.084, 0.578], [0.084, 0.578, 0.084], [0.166, 0.166, 0.166], [0.422, 0.916, 0.916], [0.578, 0.084, 0.084], [0.834, 0.834, 0.834], [0.916, 0.422, 0.916], [0.916, 0.916, 0.422], [0.356, 0.356, 0.356], [0.644, 0.644, 0.644], [0.500, 0.500, 0.500]]}

=====

No. 7
{"formula": "BaZnSb", "functional": "PBE", "state": "relaxed", "formation_energy_uncorrected_ev_per_atom": -0.3652, "lattice": [[-1.965, 1.965, 5.971], [1.965, -1.965, 5.971], [1.965, 1.965, -5.971]], "species": ["Ba", "Zn", "Sb"], "fractional_positions": [[0.000, 0.000, 0.000], [0.691, 0.691, 0.000], [0.298, 0.298, 0.000]]}

=====

Total magnetization values, unit μB per formula unit, following the record order: 4.8 0.0 0.0 0.0 0.0 0.0 0.0.
Total energy values, unit eV per atom, following the record order: -8.710 -2.491 -3.894 -4.219 -6.438 -5.598 -2.805.